Record 1
The following is a GGA-PBE calculation of a relaxed structure of ErCo2SiH, from Alexandria via LeMat-Bulk.

a b c (Å): 5.370 5.370 6.734
angles (deg): 90.00 90.00 140.96
Atoms (fractional coordinates):
Er 0.057 0.943 0.750
Er 0.943 0.057 0.250
Co 0.339 0.661 0.556
Co 0.339 0.661 0.944
Co 0.661 0.339 0.056
Co 0.661 0.339 0.444
Si 0.224 0.776 0.250
Si 0.776 0.224 0.750
H 0.500 0.500 0.000
H 0.500 0.500 0.500

Total magnetic moment in μB per formula unit: 0.00
Space group: Cmcm
Total energy in eV per cell: -61.06

---

Record 2
The following is a GGA-PBE calculation of a relaxed structure of ErZnCo2H6, from Alexandria via LeMat-Bulk.

a b c (Å): 5.552 5.552 5.552
angles (deg): 45.03 45.03 45.03
Atoms (fractional coordinates):
Er 0.000 0.000 0.000
Zn 0.500 0.500 0.500
Co 0.208 0.208 0.208
Co 0.792 0.792 0.792
H 0.049 0.567 0.567
H 0.433 0.433 0.951
H 0.433 0.951 0.433
H 0.567 0.049 0.567
H 0.567 0.567 0.049
H 0.951 0.433 0.433

Total magnetic moment in μB per formula unit: 0.00
Space group: R-3m
Total energy in eV per cell: -42.07

---

Record 3
The following is a GGA-PBE calculation of a relaxed structure of ErHfCo, from Alexandria via LeMat-Bulk.

a b c (Å): 5.316 4.297 5.738
angles (deg): 90.00 104.75 90.00
Atoms (fractional coordinates):
Er 0.073 0.250 0.275
Er 0.927 0.750 0.725
Hf 0.464 0.250 0.811
Hf 0.536 0.750 0.189
Co 0.376 0.750 0.575
Co 0.624 0.250 0.425

ΔE_f in meV per atom: -171
ΔE to the lowest computed polymorph in eV/atom: 0.035
Total magnetic moment in μB per formula unit: 0.00
Space group: P2_1/m
Total energy in eV per cell: -44.27